The following is a DFT calculation (SCAN) of a PBEsol-optimized structure of Mn2ZnSi.

Results
E_tot: -0.5450 Ha/atom
V: 46.76 Å³ per cell
size of the total moment: 0.001 μB per atom

abc: 8.242 8.242 8.242
angles: 18.02 18.02 18.02
Element x y z (fractional)
Mn 0.000 0.000 0.000
Mn 0.260 0.260 0.260
Zn 0.505 0.505 0.505
Si 0.745 0.745 0.745

=====

The following is a DFT calculation (SCAN) of a PBEsol-optimized structure of Mg7Hg.

Results
E_tot: -0.4763 Ha/atom
V: 174.39 Å³ per cell
size of the total moment: 0.000 μB per atom

abc: 6.271 6.271 6.271
angles: 60.00 60.00 60.00
Element x y z (fractional)
Mg 0.000 0.000 0.000
Mg 0.000 0.000 0.500
Mg 0.000 0.500 0.000
Mg 0.000 0.500 0.500
Mg 0.500 0.000 0.000
Mg 0.500 0.000 0.500
Mg 0.500 0.500 0.000
Hg 0.500 0.500 0.500

=====

The following is a DFT calculation (SCAN) of a PBEsol-optimized structure of TaZn2N3.

Results
E_tot: -0.7692 Ha/atom
V: 149.82 Å³ per cell
size of the total moment: 0.000 μB per atom

abc: 5.651 5.651 5.377
angles: 90.00 90.00 60.75
Element x y z (fractional)
Ta 0.169 0.831 0.500
Ta 0.831 0.169 0.000
Zn 0.167 0.490 0.010
Zn 0.490 0.167 0.510
Zn 0.510 0.833 0.010
Zn 0.833 0.510 0.510
N 0.156 0.844 0.869
N 0.171 0.509 0.386
N 0.491 0.829 0.386
N 0.509 0.171 0.886
N 0.829 0.491 0.886
N 0.844 0.156 0.369

=====

Q: Number 1 is which compound?
A: Mn2ZnSi